Record 1
{
  "formula": "InP4",
  "functional": "PBE",
  "state": "relaxed",
  "final_energy_ev_per_cell": -16.28,
  "polymorph_energy_mev_per_atom": 1353,
  "dos_at_fermi_per_ev_cell": 6.63,
  "e_form_ev_per_atom": 1.619,
  "lattice": [[-2.671, -3.997, 1.253], [2.437, -2.692, -3.391], [3.407, -1.209, 3.408]],
  "species": ["P", "P", "P", "P", "In"],
  "fractional_positions": [[0.000, 0.000, 0.000], [0.500, 0.000, 0.500], [0.000, 0.500, 0.500], [0.500, 0.500, 0.000], [0.500, 0.500, 0.500]]
}


Record 2
{
  "formula": "Tc3SnCl",
  "functional": "PBE",
  "state": "relaxed",
  "final_energy_ev_per_cell": -31.93,
  "polymorph_energy_mev_per_atom": 0,
  "dos_at_fermi_per_ev_cell": 6.04,
  "raw_formation_energy_mev_per_atom": 1003,
  "lattice": [[4.400, 0.000, 0.000], [0.000, 4.400, 0.000], [0.000, 0.000, 4.400]],
  "species": ["Cl", "Sn", "Tc", "Tc", "Tc"],
  "fractional_positions": [[0.000, 0.000, 0.000], [0.500, 0.500, 0.500], [0.000, 0.500, 0.000], [0.000, 0.000, 0.500], [0.500, 0.000, 0.000]]
}


Record 3
{
  "formula": "TbSm4Ho2Tm",
  "functional": "PBE",
  "state": "relaxed",
  "final_energy_ev_per_cell": -36.99,
  "dos_at_fermi_per_ev_cell": 10.75,
  "e_form_ev_per_atom": 0.018,
  "lattice": [[-2.350, -2.612, -0.693], [0.723, -2.176, 5.754], [-8.428, 6.094, 5.604]],
  "species": ["Tb", "Sm", "Sm", "Sm", "Sm", "Ho", "Ho", "Tm"],
  "fractional_positions": [[0.500, 0.500, 0.000], [0.000, 0.750, 0.749], [0.000, 0.250, 0.251], [0.500, 0.750, 0.251], [0.500, 0.250, 0.749], [0.000, 0.000, 0.000], [0.500, 0.000, 0.500], [0.000, 0.500, 0.500]]
}


Record 4
{
  "formula": "Gd",
  "functional": "PBE",
  "state": "relaxed",
  "final_energy_ev_per_cell": -28.16,
  "polymorph_energy_mev_per_atom": 0,
  "dos_at_fermi_per_ev_cell": 3.62,
  "e_form_ev_per_atom": 0.000,
  "lattice": [[-1.372, 2.342, -2.451], [0.836, -3.439, -1.025], [-5.371, -1.713, 1.369]],
  "species": ["Gd", "Gd"],
  "fractional_positions": [[0.163, 0.325, 0.750], [0.837, 0.675, 0.250]]
}


Record 5
{
  "formula": "MnAlSe2",
  "functional": "PBE",
  "state": "relaxed",
  "final_energy_ev_per_cell": -20.37,
  "dos_at_fermi_per_ev_cell": 1.70,
  "raw_formation_energy_mev_per_atom": -122,
  "lattice": [[-3.017, 0.002, -2.558], [0.674, -2.725, 2.787], [-4.025, 3.863, 4.750]],
  "species": ["Mn", "Al", "Se", "Se"],
  "fractional_positions": [[0.500, 0.500, 0.750], [0.500, 0.500, 0.250], [0.000, 0.000, 0.998], [0.000, 0.000, 0.502]]
}


Record 6
{
  "formula": "CaTiNb2Pt",
  "functional": "PBE",
  "state": "relaxed",
  "final_energy_ev_per_cell": -33.10,
  "dos_at_fermi_per_ev_cell": 5.61,
  "e_form_ev_per_atom": 0.596,
  "lattice": [[-2.992, -3.251, -2.408], [1.294, -3.519, 3.142], [-3.820, 1.285, 3.012]],
  "species": ["Nb", "Nb", "Ca", "Pt", "Ti"],
  "fractional_positions": [[0.000, 0.000, 0.500], [0.500, 0.000, 0.000], [0.500, 0.500, 0.500], [0.000, 0.000, 0.000], [0.000, 0.500, 0.000]]
}


Record 7
{
  "formula": "Be2ReHg",
  "functional": "PBE",
  "state": "relaxed",
  "final_energy_ev_per_cell": -18.31,
  "dos_at_fermi_per_ev_cell": 2.51,
  "e_form_ev_per_atom": 0.473,
  "lattice": [[-3.946, 2.078, -2.375], [-3.285, -2.736, -2.693], [2.250, 0.010, 4.524]],
  "species": ["Re", "Hg", "Be", "Be"],
  "fractional_positions": [[0.750, 0.250, 0.500], [0.500, 0.500, 0.000], [0.000, 0.000, 0.000], [0.250, 0.750, 0.500]]
}


Record 8
{
  "formula": "La2Os2Ru",
  "functional": "PBE",
  "state": "relaxed",
  "final_energy_ev_per_cell": -81.88,
  "dos_at_fermi_per_ev_cell": 13.75,
  "e_form_ev_per_atom": 0.130,
  "lattice": [[6.749, 0.000, 0.000], [0.000, 6.749, 0.000], [0.000, 0.000, 4.776]],
  "species": ["Ru", "Ru", "Os", "Os", "Os", "Os", "La", "La", "La", "La"],
  "fractional_positions": [[0.000, 0.000, 0.000], [0.500, 0.500, 0.000], [0.370, 0.870, 0.000], [0.870, 0.630, 0.000], [0.630, 0.130, 0.000], [0.130, 0.370, 0.000], [0.186, 0.686, 0.500], [0.686, 0.814, 0.500], [0.814, 0.314, 0.500], [0.314, 0.186, 0.500]]
}


Record 9
{
  "formula": "K2Nd2RhO6",
  "functional": "PBE",
  "state": "relaxed",
  "final_energy_ev_per_cell": -71.13,
  "dos_at_fermi_per_ev_cell": 8.06,
  "raw_formation_energy_mev_per_atom": -2028,
  "lattice": [[-1.722, 3.013, -4.840], [0.541, -5.924, -0.282], [-5.784, 0.160, 3.185]],
  "species": ["K", "K", "Nd", "Nd", "Rh", "O", "O", "O", "O", "O", "O"],
  "fractional_positions": [[0.846, 0.154, 0.000], [0.154, 0.846, 0.000], [0.336, 0.664, 0.500], [0.664, 0.336, 0.500], [0.000, 0.000, 0.500], [0.760, 0.760, 0.679], [0.044, 0.347, 0.673], [0.240, 0.240, 0.321], [0.347, 0.044, 0.673], [0.956, 0.653, 0.327], [0.653, 0.956, 0.327]]
}


Record 10
{
  "formula": "Th2TaPd",
  "functional": "PBE",
  "state": "relaxed",
  "final_energy_ev_per_cell": -30.38,
  "dos_at_fermi_per_ev_cell": 4.27,
  "e_form_ev_per_atom": 0.377,
  "lattice": [[3.236, 0.000, 0.000], [1.618, 2.803, 0.000], [1.618, 0.934, 10.839]],
  "species": ["Pd", "Th", "Th", "Ta"],
  "fractional_positions": [[0.500, 0.500, 0.500], [0.091, 0.091, 0.728], [0.909, 0.909, 0.272], [0.000, 0.000, 0.000]]
}


Record 11
{
  "formula": "Cs3Hg2Cl6",
  "functional": "PBE",
  "state": "relaxed",
  "final_energy_ev_per_cell": -28.86,
  "dos_at_fermi_per_ev_cell": 0.67,
  "raw_formation_energy_mev_per_atom": -1328,
  "lattice": [[-5.324, 0.686, 0.656], [-0.012, -3.784, 3.863], [5.119, 11.374, 7.372]],
  "species": ["Cs", "Cs", "Cs", "Hg", "Hg", "Cl", "Cl", "Cl", "Cl", "Cl", "Cl"],
  "fractional_positions": [[0.000, 0.000, 0.000], [0.821, 0.821, 0.643], [0.179, 0.179, 0.357], [0.400, 0.400, 0.800], [0.600, 0.600, 0.200], [0.085, 0.585, 0.169], [0.585, 0.085, 0.169], [0.915, 0.415, 0.831], [0.415, 0.915, 0.831], [0.697, 0.697, 0.394], [0.303, 0.303, 0.606]]
}


Record 12
{
  "formula": "ZnCoOs",
  "functional": "PBE",
  "state": "relaxed",
  "final_energy_ev_per_cell": -18.77,
  "polymorph_energy_mev_per_atom": 234,
  "dos_at_fermi_per_ev_cell": 2.88,
  "e_form_ev_per_atom": 0.279,
  "lattice": [[-0.743, 4.072, -0.451], [-3.176, -2.684, 0.218], [-0.055, 0.275, 2.574]],
  "species": ["Co", "Os", "Zn"],
  "fractional_positions": [[0.000, 0.000, 0.834], [0.333, 0.667, 0.334], [0.667, 0.333, 0.832]]
}